Below is a relaxed structure of Y2NiAu, with properties calculated at the GGA-PBEsol level.

Unit cell a=4.7223 b=4.7223 c=4.7223 alpha=60.00 beta=60.00 gamma=60.00
Last column: nearest neighbours and their distance in Å.
Fractional coordinates of all 4 atoms:
Au (0.5000, 0.5000, 0.5000)  4 Y 2.89, 4 Ni 2.89
Ni (0.2500, 0.2500, 0.2500)  4 Y 2.89, 4 Au 2.89
Y (0.0000, 0.0000, 0.0000)  4 Ni 2.89, 4 Y 2.89
Y (0.7500, 0.7500, 0.7500)  4 Au 2.89, 4 Y 2.89

Results
formation enthalpy at 0 K: -0.332 eV per atom

***

Below is a relaxed structure of Mg3GaPt, with properties calculated at the GGA-PBEsol level.

Unit cell a=4.9592 b=4.9592 c=4.9592 alpha=90.00 beta=90.00 gamma=90.00
Last column: nearest neighbours and their distance in Å.
Fractional coordinates of all 5 atoms:
Mg (0.0000, 0.5000, 0.0000)  2 Pt 2.48
Mg (0.0000, 0.0000, 0.5000)  2 Pt 2.48
Mg (0.5000, 0.0000, 0.0000)  2 Pt 2.48
Ga (0.5000, 0.5000, 0.5000)  12 Mg 3.51
Pt (0.0000, 0.0000, 0.0000)  6 Mg 2.48

Results
formation enthalpy at 0 K: -0.112 eV per atom

***

Below is a relaxed structure of LaSb3, with properties calculated at the GGA-PBEsol level.

Unit cell a=5.8581 b=6.5723 c=6.5723 alpha=120.00 beta=90.00 gamma=90.00
Last column: nearest neighbours and their distance in Å.
Fractional coordinates of all 8 atoms:
Sb (0.7500, 0.1721, 0.8279)  8 Sb 3.18-3.52, 4 La 3.29-3.46
Sb (0.7500, 0.6557, 0.8279)  8 Sb 3.18-3.52, 4 La 3.29-3.46
Sb (0.7500, 0.1721, 0.3443)  8 Sb 3.18-3.52, 4 La 3.29-3.46
Sb (0.2500, 0.8279, 0.1721)  8 Sb 3.18-3.52, 4 La 3.29-3.46
Sb (0.2500, 0.3443, 0.1721)  8 Sb 3.18-3.52, 4 La 3.29-3.46
Sb (0.2500, 0.8279, 0.6557)  8 Sb 3.18-3.52, 4 La 3.29-3.46
La (0.7500, 0.6667, 0.3333)  12 Sb 3.29-3.46
La (0.2500, 0.3333, 0.6667)  12 Sb 3.29-3.46

Results
energy relative to the elements, uncorrected: -0.617 eV per atom